Compound: Y2ScTlO6
Source: Alexandria
Functional: GGA-PBE
Structure: optimized geometry

Values from the calculation:
DOS(E_F)   0.0 states/eV/f.u.
Crystal system   trigonal
Total energy   -7.92 eV per atom

Unit cell a=5.715 b=5.715 c=6.008 alpha=61.60 beta=61.59 gamma=60.00
Sites, in units of the cell vectors:
1 Y 0.522 0.522 0.434
2 Y 0.027 0.027 0.918
3 Sc 0.811 0.811 0.566
4 Tl 0.305 0.305 0.086
5 O 0.629 0.195 0.260
6 O 0.195 0.916 0.260
7 O 0.916 0.629 0.260
8 O 0.444 0.714 0.743
9 O 0.714 0.099 0.743
10 O 0.099 0.444 0.743

=====

Compound: ScTlZnO4
Source: Alexandria
Functional: GGA-PBE
Structure: optimized geometry

Values from the calculation:
Crystal system   orthorhombic
Total energy   -6.08 eV per atom

Unit cell a=6.375 b=6.434 c=6.434 alpha=59.79 beta=60.30 gamma=60.30
Sites, in units of the cell vectors:
1 Sc 0.500 0.000 0.500
2 Sc 0.000 0.000 0.500
3 Tl 0.000 0.000 0.000
4 Tl 0.000 0.500 0.500
5 Zn 0.627 0.623 0.123
6 Zn 0.373 0.377 0.877
7 O 0.746 0.778 0.730
8 O 0.254 0.770 0.722
9 O 0.746 0.230 0.278
10 O 0.254 0.222 0.270
11 O 0.237 0.765 0.265
12 O 0.733 0.765 0.265
13 O 0.267 0.235 0.735
14 O 0.763 0.235 0.735

=====

Compound: Sc4TlZnO
Source: Alexandria
Functional: GGA-PBE
Structure: optimized geometry

Values from the calculation:
DOS(E_F)   4.8 states/eV/f.u.
Crystal system   orthorhombic
Total energy   -5.85 eV per atom

Unit cell a=6.103 b=6.116 c=8.004 alpha=90.00 beta=112.41 gamma=90.00
Sites, in units of the cell vectors:
1 Sc 0.913 0.250 0.825
2 Sc 0.424 0.750 0.848
3 Sc 0.087 0.750 0.175
4 Sc 0.576 0.250 0.152
5 Sc 0.500 0.500 0.500
6 Sc 0.000 0.000 0.500
7 Sc 0.500 0.000 0.500
8 Sc 0.000 0.500 0.500
9 Tl 0.108 0.250 0.216
10 Tl 0.892 0.750 0.784
11 Zn 0.619 0.750 0.237
12 Zn 0.381 0.250 0.763
13 O 0.249 0.750 0.499
14 O 0.751 0.250 0.501

=====

Compound: ZrSc12Tl4O3
Source: Alexandria
Functional: GGA-PBE
Structure: optimized geometry

Values from the calculation:
DOS(E_F)   18.2 states/eV/f.u.
Crystal system   cubic
Total energy   -6.21 eV per atom

Unit cell a=8.066 b=8.066 c=8.066 alpha=109.47 beta=109.47 gamma=109.47
Sites, in units of the cell vectors:
1 Zr 0.000 0.000 0.000
2 Sc 0.250 0.500 0.750
3 Sc 0.725 0.000 0.725
4 Sc 0.275 0.000 0.275
5 Sc 0.750 0.500 0.250
6 Sc 0.725 0.725 0.000
7 Sc 0.275 0.275 0.000
8 Sc 0.750 0.250 0.500
9 Sc 0.250 0.750 0.500
10 Sc 0.500 0.250 0.750
11 Sc 0.000 0.725 0.725
12 Sc 0.500 0.750 0.250
13 Sc 0.000 0.275 0.275
14 Tl 0.500 0.500 0.500
15 Tl 0.000 0.000 0.500
16 Tl 0.500 0.000 0.000
17 Tl 0.000 0.500 0.000
18 O 0.500 0.000 0.500
19 O 0.500 0.500 0.000
20 O 0.000 0.500 0.500

=====

Compound: ZrSc2TlO
Source: Alexandria
Functional: GGA-PBE
Structure: optimized geometry

Values from the calculation:
DOS(E_F)   4.2 states/eV/f.u.
Crystal system   tetragonal
Total energy   -6.97 eV per atom

Unit cell a=4.423 b=4.423 c=4.633 alpha=90.00 beta=90.00 gamma=90.00
Sites, in units of the cell vectors:
1 Sc 0.000 0.500 0.000
2 Sc 0.500 0.000 0.000
3 Tl 0.500 0.500 0.500
4 O 0.000 0.000 0.000
5 Zr 0.000 0.000 0.500

=====

Compound: TmSc3O6
Source: Alexandria
Functional: GGA-PBE
Structure: optimized geometry

Values from the calculation:
DOS(E_F)   0.0 states/eV/f.u.
Crystal system   monoclinic
Total energy   -8.84 eV per atom

Unit cell a=3.188 b=8.695 c=8.816 alpha=108.00 beta=90.00 gamma=90.00
Sites, in units of the cell vectors:
1 Tm 0.750 0.054 0.692
2 Tm 0.250 0.946 0.308
3 Sc 0.750 0.448 0.831
4 Sc 0.250 0.552 0.169
5 Sc 0.750 0.678 0.509
6 Sc 0.250 0.322 0.491
7 Sc 0.750 0.167 0.090
8 Sc 0.250 0.833 0.910
9 O 0.750 0.464 0.602
10 O 0.250 0.536 0.398
11 O 0.750 0.924 0.094
12 O 0.250 0.076 0.906
13 O 0.750 0.399 0.061
14 O 0.250 0.601 0.939
15 O 0.750 0.727 0.272
16 O 0.250 0.273 0.728
17 O 0.750 0.113 0.455
18 O 0.250 0.887 0.545
19 O 0.750 0.797 0.756
20 O 0.250 0.203 0.244

=====

Compound: Tm3Sc5O12
Source: Alexandria
Functional: GGA-PBE
Structure: optimized geometry

Values from the calculation:
DOS(E_F)   0.0 states/eV/f.u.
Crystal system   cubic
Total energy   -8.69 eV per atom

Unit cell a=11.055 b=11.055 c=11.055 alpha=109.47 beta=109.47 gamma=109.47
Sites, in units of the cell vectors:
1 Tm 0.750 0.375 0.125
2 Tm 0.875 0.750 0.125
3 Tm 0.375 0.750 0.625
4 Tm 0.250 0.125 0.375
5 Tm 0.875 0.125 0.250
6 Tm 0.375 0.625 0.250
7 Tm 0.625 0.375 0.750
8 Tm 0.125 0.875 0.750
9 Tm 0.750 0.875 0.625
10 Tm 0.625 0.250 0.375
11 Tm 0.125 0.250 0.875
12 Tm 0.250 0.625 0.875
13 Sc 0.125 0.375 0.250
14 Sc 0.000 0.500 0.000
15 Sc 0.000 0.000 0.000
16 Sc 0.375 0.250 0.125
17 Sc 0.500 0.000 0.500
18 Sc 0.500 0.500 0.000
19 Sc 0.125 0.750 0.375
20 Sc 0.750 0.125 0.875
21 Sc 0.750 0.625 0.375
22 Sc 0.375 0.125 0.750
23 Sc 0.625 0.875 0.250
24 Sc 0.500 0.500 0.500
25 Sc 0.500 0.000 0.000
26 Sc 0.000 0.000 0.500
27 Sc 0.250 0.375 0.625
28 Sc 0.250 0.875 0.125
29 Sc 0.000 0.500 0.500
30 Sc 0.875 0.250 0.625
31 Sc 0.625 0.750 0.875
32 Sc 0.875 0.625 0.750
33 O 0.715 0.129 0.039
34 O 0.324 0.539 0.409
35 O 0.961 0.371 0.285
36 O 0.539 0.215 0.129
37 O 0.585 0.715 0.676
38 O 0.961 0.591 0.176
39 O 0.324 0.785 0.415
40 O 0.091 0.915 0.129
41 O 0.591 0.961 0.676
42 O 0.715 0.585 0.176
43 O 0.785 0.461 0.371
44 O 0.824 0.909 0.039
45 O 0.129 0.715 0.539
46 O 0.371 0.409 0.085
47 O 0.085 0.909 0.371
48 O 0.415 0.129 0.591
49 O 0.085 0.176 0.215
50 O 0.461 0.676 0.091
51 O 0.824 0.915 0.285
52 O 0.129 0.415 0.091
53 O 0.371 0.961 0.785
54 O 0.591 0.629 0.415
55 O 0.909 0.824 0.539
56 O 0.785 0.324 0.915
57 O 0.409 0.371 0.585
58 O 0.091 0.176 0.461
59 O 0.215 0.676 0.085
60 O 0.176 0.085 0.715
61 O 0.629 0.039 0.215
62 O 0.871 0.585 0.909
63 O 0.539 0.324 0.909
64 O 0.585 0.871 0.409
65 O 0.915 0.824 0.785
66 O 0.915 0.091 0.629
67 O 0.871 0.285 0.461
68 O 0.176 0.091 0.961
69 O 0.629 0.591 0.915
70 O 0.409 0.039 0.324
71 O 0.285 0.415 0.824
72 O 0.215 0.539 0.629
73 O 0.909 0.085 0.871
74 O 0.676 0.215 0.585
75 O 0.461 0.785 0.871
76 O 0.039 0.409 0.824
77 O 0.415 0.285 0.324
78 O 0.039 0.629 0.715
79 O 0.676 0.461 0.591
80 O 0.285 0.871 0.961

=====

Compound: TmScO3
Source: Alexandria
Functional: GGA-PBE
Structure: optimized geometry

Values from the calculation:
DOS(E_F)   0.0 states/eV/f.u.
Crystal system   orthorhombic
Total energy   -8.70 eV per atom

Unit cell a=5.397 b=5.699 c=7.954 alpha=90.00 beta=90.00 gamma=90.00
Sites, in units of the cell vectors:
1 Tm 0.022 0.437 0.250
2 Tm 0.978 0.563 0.750
3 Tm 0.522 0.063 0.750
4 Tm 0.478 0.937 0.250
5 Sc 0.000 0.000 0.000
6 Sc 0.500 0.500 0.000
7 Sc 0.000 0.000 0.500
8 Sc 0.500 0.500 0.500
9 O 0.310 0.193 0.072
10 O 0.690 0.807 0.928
11 O 0.810 0.307 0.928
12 O 0.690 0.807 0.572
13 O 0.190 0.693 0.072
14 O 0.310 0.193 0.428
15 O 0.190 0.693 0.428
16 O 0.810 0.307 0.572
17 O 0.638 0.564 0.250
18 O 0.362 0.436 0.750
19 O 0.138 0.936 0.750
20 O 0.862 0.064 0.250

=====

Compound: TmScO3
Source: Alexandria
Functional: GGA-PBE
Structure: optimized geometry

Values from the calculation:
DOS(E_F)   0.0 states/eV/f.u.
Crystal system   hexagonal
Total energy   -8.54 eV per atom

Unit cell a=2.908 b=5.703 c=5.704 alpha=60.00 beta=90.00 gamma=90.00
Sites, in units of the cell vectors:
1 Tm 0.220 0.099 0.062
2 Sc 0.220 0.433 0.395
3 O 0.720 0.271 0.718
4 O 0.720 0.271 0.234
5 O 0.720 0.756 0.234

=====

Compound: TmScO3
Source: Alexandria
Functional: GGA-PBE
Structure: optimized geometry

Values from the calculation:
DOS(E_F)   0.0 states/eV/f.u.
Crystal system   cubic
Total energy   -8.12 eV per atom

Unit cell a=4.000 b=4.000 c=4.000 alpha=90.00 beta=90.00 gamma=90.00
Sites, in units of the cell vectors:
1 Tm 0.000 0.000 0.000
2 Sc 0.500 0.500 0.500
3 O 0.500 0.500 0.000
4 O 0.500 0.000 0.500
5 O 0.000 0.500 0.500

=====

Compound: Tm2ScO
Source: Alexandria
Functional: GGA-PBE
Structure: optimized geometry

Values from the calculation:
Distance to the lowest polymorph of the same formula   0 meV per atom
DOS(E_F)   3.5 states/eV/f.u.
Crystal system   trigonal
Total energy   -6.43 eV per atom

Unit cell a=3.417 b=3.417 c=8.505 alpha=78.41 beta=78.41 gamma=60.00
Sites, in units of the cell vectors:
1 Sc 0.500 0.500 0.500
2 Tm 0.722 0.722 0.834
3 Tm 0.278 0.278 0.166
4 O 0.000 0.000 0.000

=====

Compound: Tm2ScO
Source: Alexandria
Functional: GGA-PBE
Structure: optimized geometry

Values from the calculation:
Distance to the lowest polymorph of the same formula   494 meV per atom
DOS(E_F)   5.9 states/eV/f.u.
Crystal system   tetragonal
Total energy   -5.93 eV per atom

Unit cell a=3.094 b=3.094 c=8.295 alpha=90.00 beta=90.00 gamma=90.00
Sites, in units of the cell vectors:
1 Sc 0.500 0.500 0.500
2 Tm 0.000 0.000 0.816
3 Tm 0.000 0.000 0.184
4 O 0.500 0.500 0.000

=====

Compound: TmScO2
Source: Alexandria
Functional: GGA-PBE
Structure: optimized geometry

Values from the calculation:
DOS(E_F)   0.2 states/eV/f.u.
Crystal system   trigonal
Total energy   -7.92 eV per atom

Unit cell a=3.218 b=3.218 c=5.898 alpha=74.17 beta=74.17 gamma=60.00
Sites, in units of the cell vectors:
1 Tm 0.672 0.672 0.983
2 Sc 0.494 0.494 0.517
3 O 0.082 0.082 0.753
4 O 0.251 0.251 0.247

=====

Compound: TmSc2O
Source: Alexandria
Functional: GGA-PBE
Structure: optimized geometry

Values from the calculation:
Distance to the lowest polymorph of the same formula   0 meV per atom
DOS(E_F)   5.1 states/eV/f.u.
Crystal system   trigonal
Total energy   -6.81 eV per atom

Unit cell a=3.248 b=3.248 c=8.850 alpha=79.43 beta=79.43 gamma=60.00
Sites, in units of the cell vectors:
1 Sc 0.120 0.120 0.639
2 Sc 0.880 0.880 0.361
3 Tm 0.000 0.000 0.000
4 O 0.500 0.500 0.500

=====

Compound: TmSc2O4
Source: Alexandria
Functional: GGA-PBE
Structure: optimized geometry

Values from the calculation:
DOS(E_F)   1.4 states/eV/f.u.
Crystal system   orthorhombic
Total energy   -8.66 eV per atom

Unit cell a=3.114 b=5.415 c=10.307 alpha=90.00 beta=90.00 gamma=106.71
Sites, in units of the cell vectors:
1 Tm 0.622 0.244 0.750
2 Tm 0.378 0.756 0.250
3 Sc 0.128 0.256 0.431
4 Sc 0.872 0.744 0.931
5 Sc 0.128 0.256 0.069
6 Sc 0.872 0.744 0.569
7 O 0.776 0.551 0.117
8 O 0.776 0.551 0.383
9 O 0.224 0.449 0.883
10 O 0.224 0.449 0.617
11 O 0.967 0.934 0.750
12 O 0.033 0.066 0.250
13 O 0.500 0.000 0.000
14 O 0.500 0.000 0.500

=====

Compound: TmScO3
Source: Alexandria
Functional: GGA-PBE
Structure: optimized geometry

Values from the calculation:
DOS(E_F)   0.0 states/eV/f.u.
Crystal system   trigonal
Total energy   -8.69 eV per atom

Unit cell a=5.530 b=5.530 c=5.843 alpha=61.75 beta=61.76 gamma=60.00
Sites, in units of the cell vectors:
1 Tm 0.360 0.360 0.920
2 Tm 0.640 0.640 0.080
3 Sc 0.854 0.854 0.439
4 Sc 0.146 0.146 0.561
5 O 0.768 0.448 0.744
6 O 0.040 0.768 0.744
7 O 0.448 0.040 0.744
8 O 0.232 0.552 0.256
9 O 0.960 0.232 0.256
10 O 0.552 0.960 0.256

=====

Compound: TmSc2O
Source: Alexandria
Functional: GGA-PBE
Structure: optimized geometry

Values from the calculation:
Distance to the lowest polymorph of the same formula   422 meV per atom
DOS(E_F)   5.8 states/eV/f.u.
Crystal system   tetragonal
Total energy   -6.39 eV per atom

Unit cell a=2.989 b=2.989 c=8.176 alpha=90.00 beta=90.00 gamma=90.00
Sites, in units of the cell vectors:
1 Sc 0.000 0.000 0.828
2 Sc 0.000 0.000 0.172
3 Tm 0.500 0.500 0.500
4 O 0.500 0.500 0.000

=====

Compound: Tm2Sc6O
Source: Alexandria
Functional: GGA-PBE
Structure: optimized geometry

Values from the calculation:
DOS(E_F)   10.2 states/eV/f.u.
Crystal system   monoclinic
Total energy   -6.27 eV per atom

Unit cell a=6.063 b=8.160 c=8.857 alpha=90.00 beta=90.00 gamma=107.86
Sites, in units of the cell vectors:
1 Tm 0.203 0.420 0.487
2 Tm 0.297 0.080 0.987
3 Tm 0.703 0.920 0.013
4 Tm 0.797 0.580 0.513
5 Sc 0.138 0.699 0.160
6 Sc 0.077 0.307 0.156
7 Sc 0.147 0.980 0.381
8 Sc 0.353 0.520 0.881
9 Sc 0.423 0.193 0.656
10 Sc 0.362 0.801 0.660
11 Sc 0.862 0.301 0.840
12 Sc 0.923 0.693 0.844
13 Sc 0.853 0.020 0.619
14 Sc 0.647 0.480 0.119
15 Sc 0.577 0.807 0.344
16 Sc 0.638 0.199 0.340
17 O 0.500 0.000 0.500
18 O 0.000 0.500 0.000

=====

Compound: TmSc4O
Source: Alexandria
Functional: GGA-PBE
Structure: optimized geometry

Values from the calculation:
DOS(E_F)   6.4 states/eV/f.u.
Crystal system   tetragonal
Total energy   -6.64 eV per atom

Unit cell a=5.956 b=5.956 c=7.436 alpha=90.00 beta=90.02 gamma=90.00
Sites, in units of the cell vectors:
1 Tm 0.000 0.000 0.000
2 Tm 0.500 0.500 0.000
3 Sc 0.000 0.500 0.205
4 Sc 0.500 0.000 0.795
5 Sc 0.671 0.671 0.500
6 Sc 0.829 0.171 0.500
7 Sc 0.000 0.500 0.795
8 Sc 0.500 0.000 0.205
9 Sc 0.329 0.329 0.500
10 Sc 0.171 0.829 0.500
11 O 0.500 0.000 0.500
12 O 0.000 0.500 0.500

=====

Number 1: mass density 6.12 g/cm3. Number 2: mass density 6.72 g/cm3. Number 3: mass density 5.60 g/cm3. Number 4: mass density 6.15 g/cm3. Number 5: mass density 7.36 g/cm3. Number 6: mass density 5.71 g/cm3. Number 7: mass density 5.90 g/cm3. Number 8: mass density 7.11 g/cm3. Number 9: mass density 5.31 g/cm3. Number 10: mass density 6.79 g/cm3. Number 11: mass density 7.92 g/cm3. Number 12: mass density 8.34 g/cm3. Number 13: mass density 8.13 g/cm3. Number 14: mass density 5.78 g/cm3. Number 15: mass density 6.44 g/cm3. Number 16: mass density 6.71 g/cm3. Number 17: mass density 6.25 g/cm3. Number 18: mass density 4.97 g/cm3. Number 19: mass density 4.59 g/cm3.